*a*
The following is a DFT calculation (PBE-GGA) of a relaxed In2CoAu crystal.

M_tot = 0.86 μB per formula unit

Cell: 4.5939 3.2221 4.9215 Å, 90.25 90.00 90.00°
Each line ends with the local moment (μB).
Atoms (fractional coordinates):
1 Au 0.0000 0.6236 0.4417  0.00
2 In 0.0000 0.1269 0.9126  -0.02
3 In 0.5000 0.1228 0.3304  -0.02
4 Co 0.5000 0.6268 0.8154  0.93


*b*
The following is a DFT calculation (PBE-GGA) of a relaxed In2CoAu crystal.

M_tot = 0.97 μB per formula unit

Cell: 3.6299 3.6197 5.7276 Å, 90.00 90.00 90.00°
Each line ends with the local moment (μB).
Atoms (fractional coordinates):
1 In 0.0000 0.0000 0.9597  -0.04
2 In 0.5000 0.5000 0.2751  -0.02
3 Co 0.5000 0.5000 0.7757  1.12
4 Au 0.0000 0.0000 0.4896  -0.03


*c*
The following is a DFT calculation (PBE-GGA) of a relaxed In2CoAu crystal.

M_tot = 0.63 μB per formula unit

Cell: 3.1129 3.1149 7.9743 Å, 67.37 90.00 90.00°
Each line ends with the local moment (μB).
Atoms (fractional coordinates):
1 Co 0.5000 0.7500 0.7500  0.67
2 In 0.0000 0.0352 0.9671  -0.01
3 In 0.0000 0.4648 0.5329  -0.01
4 Au 0.5000 0.2500 0.2500  0.01


Most stable one: *c*, least stable one: *b*.


*a*
The following is a DFT calculation (PBE-GGA) of a relaxed In2CoAu crystal.

M_tot = 0.39 μB per formula unit

Cell: 7.4183 7.4183 5.9849 Å, 51.70 51.70 90.00°
Each line ends with the local moment (μB).
Atoms (fractional coordinates):
1 In 0.8750 0.8464 0.7500  -0.01
2 In 0.3750 0.4036 0.7500  -0.01
3 In 0.1536 0.6250 0.2500  -0.01
4 In 0.5964 0.1250 0.2500  -0.01
5 Co 0.5000 0.5000 0.0000  0.43
6 Co 0.2500 0.7500 0.5000  0.43
7 Au 0.7500 0.2500 0.5000  -0.01
8 Au 0.0000 0.0000 0.0000  -0.01


*b*
The following is a DFT calculation (PBE-GGA) of a relaxed In2CoAu crystal.

M_tot = 1.03 μB per formula unit

Cell: 3.1432 3.1432 7.8305 Å, 90.00 90.00 90.01°
Each line ends with the local moment (μB).
Atoms (fractional coordinates):
1 Au 0.0000 0.0000 0.5409  0.00
2 Co 0.5000 0.5000 0.7415  1.11
3 In 0.0000 0.0000 0.9353  -0.02
4 In 0.5000 0.5000 0.2824  -0.01


Most stable one: *b*, least stable one: *a*.


*a*
The following is a DFT calculation (PBE-GGA) of a relaxed In2CoAu crystal.

M_tot = 0.15 μB per formula unit

Cell: 6.5191 6.5191 6.5191 Å, 153.85 141.13 47.45°
Each line ends with the local moment (μB).
Atoms (fractional coordinates):
1 In 0.7624 0.2624 0.5000  -0.01
2 In 0.0567 0.0567 0.0000  0.00
3 Au 0.4376 0.4376 0.0000  0.00
4 Co 0.2433 0.7433 0.5000  0.18


*b*
The following is a DFT calculation (PBE-GGA) of a relaxed In2CoAu crystal.

M_tot = 0.67 μB per formula unit

Cell: 4.9607 4.9607 4.9607 Å, 128.98 128.99 75.04°
Each line ends with the local moment (μB).
Atoms (fractional coordinates):
1 Co 0.2500 0.7500 0.5000  0.77
2 In 0.0000 0.0000 0.0000  -0.02
3 In 0.5000 0.5000 0.0000  -0.02
4 Au 0.7500 0.2500 0.5000  0.00


Most stable one: *a*, least stable one: *b*.


*a*
The following is a DFT calculation (PBE-GGA) of a relaxed InCoAu3 crystal.

M_tot = 2.32 μB per formula unit

Cell: 5.1480 5.1480 5.1480 Å, 90.00 90.00 90.00°
Each line ends with the local moment (μB).
Atoms (fractional coordinates):
1 Au 0.0000 0.5000 0.0000  0.01
2 Au 0.5000 0.0000 0.0000  0.00
3 Au 0.0000 0.0000 0.5000  0.01
4 In 0.0000 0.0000 0.0000  -0.01
5 Co 0.5000 0.5000 0.5000  2.20


*b*
The following is a DFT calculation (PBE-GGA) of a relaxed InCoAu3 crystal.

M_tot = 1.92 μB per formula unit

Cell: 4.8550 4.8550 4.8550 Å, 90.00 90.00 90.00°
Each line ends with the local moment (μB).
Atoms (fractional coordinates):
1 In 0.5000 0.5000 0.5000  -0.01
2 Au 0.0000 0.5000 0.0000  0.05
3 Au 0.5000 0.0000 0.0000  0.01
4 Au 0.0000 0.0000 0.5000  0.13
5 Co 0.0000 0.0000 0.0000  1.75


Most stable one: *b*, least stable one: *a*.


*a*
The following is a DFT calculation (PBE-GGA) of a relaxed In2CoPdAu crystal.

M_tot = 2.13 μB per formula unit

Cell: 5.1277 4.7929 5.1277 Å, 90.00 90.00 90.00°
Each line ends with the local moment (μB).
Atoms (fractional coordinates):
1 Pd 0.5000 0.5000 0.5000  0.07
2 In 0.5000 0.0000 0.0000  0.01
3 In 0.0000 0.0000 0.5000  0.01
4 Au 0.0000 0.0000 0.0000  0.03
5 Co 0.0000 0.5000 0.0000  2.04


*b*
The following is a DFT calculation (PBE-GGA) of a relaxed In2CoPdAu crystal.

M_tot = 2.22 μB per formula unit

Cell: 5.1314 5.1294 5.1314 Å, 90.00 90.00 90.00°
Each line ends with the local moment (μB).
Atoms (fractional coordinates):
1 Au 0.0000 0.0000 0.0000  0.00
2 In 0.5000 0.0000 0.0000  0.00
3 In 0.0000 0.0000 0.5000  -0.01
4 Pd 0.0000 0.5000 0.0000  0.06
5 Co 0.5000 0.5000 0.5000  2.13


Most stable one: *a*, least stable one: *b*.


*a*
The following is a DFT calculation (PBE-GGA) of a relaxed CoIrAu2 crystal.

M_tot = 2.97 μB per formula unit

Cell: 4.0302 3.9301 3.9301 Å, 90.00 90.00 90.00°
Each line ends with the local moment (μB).
Atoms (fractional coordinates):
1 Au 0.0000 0.5000 0.5000  0.10
2 Au 0.0000 0.0000 0.0000  0.10
3 Ir 0.5000 0.0000 0.5000  0.73
4 Co 0.5000 0.5000 0.0000  2.06


*b*
The following is a DFT calculation (PBE-GGA) of a relaxed CoIrAu2 crystal.

M_tot = 2.36 μB per formula unit

Cell: 2.8100 2.8100 7.8696 Å, 90.00 90.00 90.00°
Each line ends with the local moment (μB).
Atoms (fractional coordinates):
1 Co 0.0000 0.0000 0.5204  1.76
2 Ir 0.5000 0.5000 0.7168  0.58
3 Au 0.0000 0.0000 0.9880  0.01
4 Au 0.5000 0.5000 0.2748  0.01


Most stable one: *b*, least stable one: *a*.


*a*
The following is a DFT calculation (PBE-GGA) of a relaxed CoIrAu crystal.

M_tot = 2.33 μB per formula unit

Cell: 5.5864 2.7723 11.7845 Å, 90.00 103.54 90.00°
Each line ends with the local moment (μB).
Atoms (fractional coordinates):
1 Au 0.7477 0.0000 0.0034  0.04
2 Au 0.7477 0.5000 0.5034  0.04
3 Au 0.2523 0.5000 0.4966  0.04
4 Au 0.2523 0.0000 0.9966  0.04
5 Co 0.4270 0.5000 0.8219  1.84
6 Co 0.4270 0.0000 0.3219  1.84
7 Co 0.5730 0.5000 0.1781  1.84
8 Co 0.5730 0.0000 0.6781  1.84
9 Ir 0.1068 0.5000 0.1832  0.46
10 Ir 0.8932 0.0000 0.3168  0.46
11 Ir 0.8932 0.5000 0.8168  0.46
12 Ir 0.1068 0.0000 0.6832  0.46


*b*
The following is a DFT calculation (PBE-GGA) of a relaxed CoIrAu crystal.

M_tot = 2.28 μB per formula unit

Cell: 3.8898 11.6110 3.9290 Å, 90.00 90.00 90.00°
Each line ends with the local moment (μB).
Atoms (fractional coordinates):
1 Au 0.5000 0.7496 0.2500  0.03
2 Au 0.0000 0.7504 0.7500  0.03
3 Au 0.5000 0.2504 0.7500  0.03
4 Au 0.0000 0.2496 0.2500  0.03
5 Ir 0.0000 0.0709 0.7500  0.50
6 Ir 0.5000 0.5708 0.7500  0.50
7 Ir 0.5000 0.4291 0.2500  0.50
8 Ir 0.0000 0.9292 0.2500  0.50
9 Co 0.5000 0.9318 0.7500  1.77
10 Co 0.5000 0.0682 0.2500  1.77
11 Co 0.0000 0.4318 0.7500  1.77
12 Co 0.0000 0.5682 0.2500  1.77


*c*
The following is a DFT calculation (PBE-GGA) of a relaxed CoIrAu crystal.

M_tot = 2.37 μB per formula unit

Cell: 4.9822 4.9822 4.9822 Å, 147.83 137.18 54.56°
Each line ends with the local moment (μB).
Atoms (fractional coordinates):
1 Ir 0.6871 0.6871 0.0000  0.58
2 Co 0.3159 0.3159 0.0000  1.76
3 Au 0.9970 0.9970 0.0000  0.04


*d*
The following is a DFT calculation (PBE-GGA) of a relaxed CoIrAu crystal.

M_tot = 3.05 μB per formula unit

Cell: 4.3015 4.3015 2.8238 Å, 90.00 90.00 120.00°
Each line ends with the local moment (μB).
Atoms (fractional coordinates):
1 Co 0.3333 0.6667 0.4609  1.98
2 Ir 0.6667 0.3333 0.5277  0.98
3 Au 0.0000 0.0000 0.0113  0.09


Most stable one: *a*, least stable one: *d*.


*a*
The following is a DFT calculation (PBE-GGA) of a relaxed CoIrAu crystal.

M_tot = 2.28 μB per formula unit

Cell: 2.7586 14.7719 4.3830 Å, 90.00 90.00 90.00°
Each line ends with the local moment (μB).
Atoms (fractional coordinates):
1 Co 0.0000 0.5995 0.2500  1.75
2 Co 0.5000 0.0995 0.2500  1.75
3 Co 0.0000 0.4005 0.7500  1.75
4 Co 0.5000 0.9005 0.7500  1.75
5 Au 0.0000 0.7134 0.7500  0.04
6 Au 0.0000 0.2866 0.2500  0.04
7 Au 0.5000 0.7866 0.2500  0.04
8 Au 0.5000 0.2134 0.7500  0.04
9 Ir 0.5000 0.4514 0.2500  0.52
10 Ir 0.0000 0.0486 0.7500  0.52
11 Ir 0.5000 0.5486 0.7500  0.52
12 Ir 0.0000 0.9514 0.2500  0.52


*b*
The following is a DFT calculation (PBE-GGA) of a relaxed CoIrAu crystal.

M_tot = 2.16 μB per formula unit

Cell: 6.0476 6.0476 6.0476 Å, 153.51 153.51 37.81°
Each line ends with the local moment (μB).
Atoms (fractional coordinates):
1 Ir 0.6837 0.6837 0.0000  0.46
2 Au 0.9937 0.9937 0.0000  0.02
3 Co 0.3226 0.3226 0.0000  1.69


*c*
The following is a DFT calculation (PBE-GGA) of a relaxed CoIrAu crystal.

M_tot = 2.38 μB per formula unit

Cell: 6.4274 2.7498 10.3174 Å, 90.00 104.44 90.00°
Each line ends with the local moment (μB).
Atoms (fractional coordinates):
1 Co 0.1744 0.0000 0.9761  1.86
2 Co 0.8256 0.5000 0.5239  1.86
3 Co 0.8256 0.0000 0.0239  1.86
4 Co 0.1744 0.5000 0.4761  1.86
5 Ir 0.1178 0.5000 0.1838  0.49
6 Ir 0.8822 0.5000 0.8162  0.49
7 Ir 0.1178 0.0000 0.6838  0.49
8 Ir 0.8822 0.0000 0.3162  0.49
9 Au 0.5354 0.5000 0.1351  0.05
10 Au 0.4646 0.5000 0.8649  0.05
11 Au 0.5354 0.0000 0.6351  0.05
12 Au 0.4646 0.0000 0.3649  0.05


Most stable one: *c*, least stable one: *a*.


*a*
The following is a DFT calculation (PBE-GGA) of a relaxed CoIrAu crystal.

M_tot = 3.05 μB per formula unit

Cell: 4.1255 4.1255 4.1255 Å, 60.00 60.00 60.00°
Each line ends with the local moment (μB).
Atoms (fractional coordinates):
1 Co 0.7500 0.7500 0.7500  1.91
2 Au 0.5000 0.5000 0.5000  0.12
3 Ir 0.0000 0.0000 0.0000  0.99


*b*
The following is a DFT calculation (PBE-GGA) of a relaxed CoIrAu crystal.

M_tot = 2.17 μB per formula unit

Cell: 4.2279 2.7320 7.7869 Å, 90.00 90.00 90.00°
Each line ends with the local moment (μB).
Atoms (fractional coordinates):
1 Ir 0.5000 0.0000 0.9076  0.43
2 Ir 0.0000 0.5000 0.0267  0.27
3 Co 0.5000 0.5000 0.6345  1.83
4 Co 0.0000 0.0000 0.7292  1.76
5 Au 0.0000 0.5000 0.4306  0.05
6 Au 0.5000 0.0000 0.2576  0.03


*c*
The following is a DFT calculation (PBE-GGA) of a relaxed CoIrAu crystal.

M_tot = 2.52 μB per formula unit

Cell: 2.7613 2.7613 6.7308 Å, 90.00 90.00 120.00°
Each line ends with the local moment (μB).
Atoms (fractional coordinates):
1 Au 0.0000 0.0000 0.7122  0.04
2 Ir 0.6667 0.3333 0.0836  0.58
3 Co 0.3333 0.6667 0.3771  1.92


Most stable one: *c*, least stable one: *a*.


*a*
The following is a DFT calculation (PBE-GGA) of a relaxed CoIrAu crystal.

M_tot = 1.98 μB per formula unit

Cell: 7.7006 2.7665 9.0656 Å, 90.00 114.01 90.00°
Each line ends with the local moment (μB).
Atoms (fractional coordinates):
1 Au 0.5930 0.5000 0.1647  0.04
2 Au 0.5930 0.0000 0.6647  0.04
3 Au 0.4070 0.5000 0.8353  0.04
4 Au 0.4070 0.0000 0.3353  0.04
5 Ir 0.0608 0.0000 0.6554  0.23
6 Ir 0.0608 0.5000 0.1554  0.23
7 Ir 0.9392 0.5000 0.8446  0.23
8 Ir 0.9392 0.0000 0.3446  0.23
9 Co 0.2356 0.0000 0.0030  1.73
10 Co 0.2356 0.5000 0.5030  1.73
11 Co 0.7644 0.0000 0.9970  1.73
12 Co 0.7644 0.5000 0.4970  1.73


*b*
The following is a DFT calculation (PBE-GGA) of a relaxed CoIrAu crystal.

M_tot = 2.56 μB per formula unit

Cell: 7.3367 7.0888 2.7292 Å, 84.26 74.02 21.72°
Each line ends with the local moment (μB).
Atoms (fractional coordinates):
1 Ir 0.3209 0.3209 0.6791  0.59
2 Co 0.6730 0.6730 0.3270  1.94
3 Au 0.0061 0.0061 0.9939  0.03


Most stable one: *a*, least stable one: *b*.


*a*
The following is a DFT calculation (PBE-GGA) of a relaxed Co2Ir2Au crystal.

M_tot = 4.30 μB per formula unit

Cell: 7.2797 7.2797 2.6898 Å, 90.00 90.00 90.00°
Each line ends with the local moment (μB).
Atoms (fractional coordinates):
1 Co 0.8765 0.6235 0.0000  1.55
2 Co 0.6235 0.1235 0.0000  1.52
3 Co 0.3765 0.8765 0.0000  1.52
4 Co 0.1235 0.3765 0.0000  1.55
5 Ir 0.3318 0.1682 0.5000  0.57
6 Ir 0.1682 0.6682 0.5000  0.61
7 Ir 0.6682 0.8318 0.5000  0.57
8 Ir 0.8318 0.3318 0.5000  0.61
9 Au 0.5000 0.5000 0.0000  0.03
10 Au 0.0000 0.0000 0.0000  0.03


*b*
The following is a DFT calculation (PBE-GGA) of a relaxed Co2Ir2Au crystal.

M_tot = 4.35 μB per formula unit

Cell: 7.3147 7.3147 2.7023 Å, 90.00 90.00 90.00°
Each line ends with the local moment (μB).
Atoms (fractional coordinates):
1 Co 0.1669 0.6669 0.5000  1.67
2 Co 0.6669 0.8331 0.5000  1.66
3 Co 0.3331 0.1669 0.5000  1.66
4 Co 0.8331 0.3331 0.5000  1.67
5 Ir 0.3717 0.8717 0.0000  0.48
6 Ir 0.1283 0.3717 0.0000  0.48
7 Ir 0.6283 0.1283 0.0000  0.48
8 Ir 0.8717 0.6283 0.0000  0.48
9 Au 0.5000 0.5000 0.0000  0.05
10 Au 0.0000 0.0000 0.0000  0.05


Most stable one: *b*, least stable one: *a*.